1.
Compound: GdDy2Si
Source: the Alexandria database
Functional: PBE-GGA
Structure: relaxed

Properties
Total moment ... 7.425 Bohr magnetons per cell
D(E_F) ... 1.06 states/eV/atom
E above lowest polymorph ... 0.000 eV/atom
SG ... No. 123
Formation energy without anion corrections ... -268 meV per atom

Cell and atoms, written as POSCAR:
```
GdDy2Si
1.0
-3.167 3.323 -0.276
-1.770 -2.004 -3.816
-2.878 -2.522 2.660
Si Gd Dy
1 1 2
Cartesian
-3.908 -0.601 -0.716
-1.584 1.662 -0.138
-1.439 -1.261 1.330
-0.885 -1.002 -1.908
```

---

2.
Compound: Pr12Sm2Y5
Source: the Alexandria database
Functional: PBE-GGA
Structure: relaxed

Properties
Total moment ... 0.000 Bohr magnetons per cell
D(E_F) ... 1.45 states/eV/atom
E above lowest polymorph ... 0.000 eV/atom
Calculated formation energy ... 0.125 eV per atom
SG ... No. 12

Cell and atoms, written as POSCAR:
```
Pr12Sm2Y5
1.0
6.864 0.000 -2.207
-0.910 8.355 -2.830
0.032 -0.125 11.880
Pr Sm Y
12 2 5
Cartesian
5.047 7.763 3.920
2.396 6.574 1.498
5.790 6.574 0.407
2.148 3.194 0.635
5.489 3.194 -0.439
3.134 5.788 -2.031
2.853 2.443 8.874
3.839 5.036 6.208
0.498 5.036 7.282
3.591 1.656 5.345
0.197 1.656 6.436
0.940 0.467 2.923
5.108 0.000 -1.642
1.756 0.000 -0.565
4.710 4.189 2.870
4.392 0.781 1.881
-0.455 4.178 -1.415
1.595 7.449 4.962
1.277 4.041 3.973
```

---

3.
Compound: Y3BRh
Source: the Alexandria database
Functional: PBE-GGA
Structure: relaxed

Properties
Total moment ... 0.000 Bohr magnetons per cell
D(E_F) ... 0.86 states/eV/atom
E above lowest polymorph ... 0.000 eV/atom
Calculated formation energy ... -0.029 eV per atom
SG ... No. 221

Cell and atoms, written as POSCAR:
```
Y3BRh
1.0
-1.031 -0.863 -4.735
-0.360 -4.815 0.956
-4.800 0.547 0.946
Y B Rh
3 1 1
Cartesian
-0.180 -2.408 0.478
-2.400 0.273 0.473
-0.516 -0.431 -2.368
0.000 0.000 0.000
-3.095 -2.566 -1.417
```

---

4.
Compound: YHRh3
Source: the Alexandria database
Functional: PBE-GGA
Structure: relaxed

Properties
Total moment ... 0.000 Bohr magnetons per cell
D(E_F) ... 0.91 states/eV/atom
E above lowest polymorph ... 0.329 eV/atom
SG ... No. 62

Cell and atoms, written as POSCAR:
```
YHRh3
1.0
5.236 0.000 0.000
0.000 10.261 0.000
0.000 0.000 5.749
Y H Rh
4 4 12
Cartesian
0.000 0.000 2.875
2.618 5.131 0.000
2.618 0.000 0.000
0.000 5.131 2.875
4.030 2.565 2.476
3.825 7.696 5.350
1.207 7.696 3.273
1.411 2.565 0.399
5.217 9.010 5.283
2.638 3.879 2.409
2.638 1.251 2.409
0.020 3.879 0.466
0.020 1.251 0.466
2.599 6.382 3.340
2.599 9.010 3.340
5.217 6.382 5.283
1.422 2.565 4.350
1.196 7.696 1.475
3.814 7.696 1.399
4.040 2.565 4.274
```